{"formula": "ZrRe2Ni", "functional": "meta-GGA SCAN", "state": "PBEsol geometry", "lattice_angstrom": [[2.815, 0.000, 0.005], [0.000, 4.330, 0.000], [-0.903, 0.000, 4.984]], "species": ["Re", "Re", "Ni", "Zr"], "frac_coords": [[0.121, 0.000, 0.036], [0.768, 0.500, 0.191], [0.082, 0.500, 0.733], [0.529, 0.000, 0.540]], "rho_g_cm3": 14.3, "polymorph_energy_mev_per_atom": 0.0, "magnetic_moment_mub_per_cell": 0.00, "total_energy_ev_per_atom": -47.3315}